The following is a PBE-GGA calculation of an optimized crystal structure of SmAlHg, from OQMD.

The structure in POSCAR format:
```
SmAlHg
1.0
-2.341 3.755 4.021
2.341 -3.755 4.021
2.341 3.755 -4.021
Sm Al Hg
2 2 2
Direct
0.000 0.000 0.000
0.557 0.057 0.500
0.390 0.692 0.698
0.994 0.692 0.302
0.142 0.363 0.779
0.584 0.363 0.221
```

Output
The total magnetization comes out at 0.128 μB/f.u. The value obtained for the calculated total energy is -3.39 eV/atom.

=====

The following is a PBE-GGA calculation of an optimized crystal structure of SmAlHg, from OQMD.

The structure in POSCAR format:
```
SmAlHg
1.0
0.000 3.411 3.411
3.411 0.000 3.411
3.411 3.411 0.000
Sm Al Hg
1 1 1
Direct
0.000 0.000 0.000
0.500 0.500 0.500
0.750 0.750 0.750
```

Output
The total magnetization comes out at 0.000 μB/f.u. The value obtained for the calculated total energy is -3.26 eV/atom.

=====

Q: What is the formula in the second record?
A: SmAlHg